1.
A relaxed TmZrAlMo crystal, computed with GGA-PBE.

Unit cell a=6.876 b=6.876 c=6.876 alpha=90.00 beta=90.00 gamma=90.00
Fractional positions:
1 Tm 0.000 0.000 0.000
2 Tm 0.000 0.500 0.500
3 Tm 0.500 0.000 0.500
4 Tm 0.500 0.500 0.000
5 Zr 0.000 0.000 0.500
6 Zr 0.000 0.500 0.000
7 Zr 0.500 0.000 0.000
8 Zr 0.500 0.500 0.500
9 Al 0.250 0.250 0.250
10 Al 0.250 0.750 0.750
11 Al 0.750 0.250 0.750
12 Al 0.750 0.750 0.250
13 Mo 0.250 0.250 0.750
14 Mo 0.250 0.750 0.250
15 Mo 0.750 0.250 0.250
16 Mo 0.750 0.750 0.750

Results
calculated volume	325.0	Å³ per cell
uncorrected energy	-0.5139	Ry/atom

---

2.
A relaxed U6Al43Mo4 crystal, computed with GGA-PBE.

Unit cell a=11.033 b=11.033 c=17.437 alpha=90.00 beta=90.00 gamma=120.00
Fractional positions:
1 U 0.000 0.478 0.087
2 U 0.000 0.478 0.413
3 U 0.000 0.522 0.587
4 U 0.000 0.522 0.913
5 U 0.478 0.000 0.087
6 U 0.478 0.000 0.413
7 U 0.478 0.478 0.587
8 U 0.478 0.478 0.913
9 U 0.522 0.000 0.587
10 U 0.522 0.000 0.913
11 U 0.522 0.522 0.087
12 U 0.522 0.522 0.413
13 Al 0.000 0.148 0.750
14 Al 0.000 0.162 0.114
15 Al 0.000 0.162 0.386
16 Al 0.000 0.254 0.530
17 Al 0.000 0.254 0.970
18 Al 0.000 0.746 0.030
19 Al 0.000 0.746 0.470
20 Al 0.000 0.838 0.614
21 Al 0.000 0.838 0.886
22 Al 0.000 0.852 0.250
23 Al 0.141 0.551 0.250
24 Al 0.141 0.591 0.750
25 Al 0.148 0.000 0.750
26 Al 0.148 0.148 0.250
27 Al 0.162 0.000 0.114
28 Al 0.162 0.000 0.386
29 Al 0.162 0.162 0.614
30 Al 0.162 0.162 0.886
31 Al 0.162 0.396 0.662
32 Al 0.162 0.396 0.838
33 Al 0.162 0.766 0.162
34 Al 0.162 0.766 0.338
35 Al 0.234 0.396 0.162
36 Al 0.234 0.396 0.338
37 Al 0.234 0.838 0.662
38 Al 0.234 0.838 0.838
39 Al 0.246 0.493 0.000
40 Al 0.246 0.493 0.500
41 Al 0.246 0.754 0.000
42 Al 0.246 0.754 0.500
43 Al 0.254 0.000 0.530
44 Al 0.254 0.000 0.970
45 Al 0.254 0.254 0.030
46 Al 0.254 0.254 0.470
47 Al 0.333 0.667 0.127
48 Al 0.333 0.667 0.373
49 Al 0.333 0.667 0.627
50 Al 0.333 0.667 0.873
51 Al 0.396 0.162 0.662
52 Al 0.396 0.162 0.838
53 Al 0.396 0.234 0.162
54 Al 0.396 0.234 0.338
55 Al 0.409 0.551 0.750
56 Al 0.409 0.859 0.250
57 Al 0.449 0.591 0.250
58 Al 0.449 0.859 0.750
59 Al 0.493 0.246 0.000
60 Al 0.493 0.246 0.500
61 Al 0.507 0.754 0.000
62 Al 0.507 0.754 0.500
63 Al 0.551 0.141 0.250
64 Al 0.551 0.409 0.750
65 Al 0.591 0.141 0.750
66 Al 0.591 0.449 0.250
67 Al 0.604 0.766 0.662
68 Al 0.604 0.766 0.838
69 Al 0.604 0.838 0.162
70 Al 0.604 0.838 0.338
71 Al 0.667 0.333 0.127
72 Al 0.667 0.333 0.373
73 Al 0.667 0.333 0.627
74 Al 0.667 0.333 0.873
75 Al 0.746 0.000 0.030
76 Al 0.746 0.000 0.470
77 Al 0.746 0.746 0.530
78 Al 0.746 0.746 0.970
79 Al 0.754 0.246 0.000
80 Al 0.754 0.246 0.500
81 Al 0.754 0.507 0.000
82 Al 0.754 0.507 0.500
83 Al 0.766 0.162 0.162
84 Al 0.766 0.162 0.338
85 Al 0.766 0.604 0.662
86 Al 0.766 0.604 0.838
87 Al 0.838 0.000 0.614
88 Al 0.838 0.000 0.886
89 Al 0.838 0.234 0.662
90 Al 0.838 0.234 0.838
91 Al 0.838 0.604 0.162
92 Al 0.838 0.604 0.338
93 Al 0.838 0.838 0.114
94 Al 0.838 0.838 0.386
95 Al 0.852 0.000 0.250
96 Al 0.852 0.852 0.750
97 Al 0.859 0.409 0.250
98 Al 0.859 0.449 0.750
99 Mo 0.000 0.000 0.000
100 Mo 0.000 0.000 0.500
101 Mo 0.000 0.269 0.250
102 Mo 0.000 0.731 0.750
103 Mo 0.269 0.000 0.250
104 Mo 0.269 0.269 0.750
105 Mo 0.731 0.000 0.750
106 Mo 0.731 0.731 0.250

Results
calculated volume	1838.3	Å³ per cell
uncorrected energy	-0.3920	Ry/atom

---

3.
A relaxed UAlMo crystal, computed with GGA-PBE.

Unit cell a=4.845 b=4.845 c=2.690 alpha=90.00 beta=90.00 gamma=120.00
Fractional positions:
1 U 0.000 0.000 0.000
2 Al 0.667 0.333 0.500
3 Mo 0.333 0.667 0.500

Results
calculated volume	54.7	Å³ per cell
energy above the lowest structure with this stoichiometry	0.0000	eV per atom

---

- The lowest calculated volume belongs to which entry?
  UAlMo

---

- Among the records above, which one has the highest calculated volume?
  U6Al43Mo4